Entry 1:
Density functional theory data (PBE) for an optimized crystal structure of LiTh2Pb3.

Calculated values
spin magnetization: 0.000 μB per formula unit
crystal system: orthorhombic
DFT formation energy: -0.55 eV per formula unit
DOS(E_F): 0.589 states/eV/atom

a b c (Å): 7.057 7.057 7.057
angles (deg): 138.42 125.33 70.95
Atoms (fractional coordinates):
Li 0.000 0.000 0.000
Th 0.317 0.317 0.000
Th 0.683 0.683 0.000
Pb 0.140 0.640 0.500
Pb 0.500 0.000 0.500
Pb 0.860 0.360 0.500

---

Entry 2:
Density functional theory data (PBE) for an optimized crystal structure of Ba3BeIr2O9.

Calculated values
spin magnetization: 3.096 μB per formula unit
formation energy (no corrections): -25.40 eV per formula unit
crystal system: trigonal
DOS(E_F): 0.706 states/eV/atom

a b c (Å): 5.667 5.667 6.952
angles (deg): 90.00 90.00 120.00
Atoms (fractional coordinates):
Ba 0.000 0.000 0.000
Ba 0.333 0.667 0.662
Ba 0.667 0.333 0.338
Be 0.000 0.000 0.500
Ir 0.333 0.667 0.175
Ir 0.667 0.333 0.825
O 0.000 0.500 0.000
O 0.166 0.332 0.335
O 0.166 0.834 0.335
O 0.332 0.166 0.665
O 0.500 0.000 0.000
O 0.500 0.500 0.000
O 0.668 0.834 0.335
O 0.834 0.166 0.665
O 0.834 0.668 0.665

---

Uncorrected energy, respectively: -4.7379; -6.4827 eV/atom.